Compound: Pm2Sm3Hg2
Source: Alexandria
Functional: PBE
Structure: relaxed

Polymorph energy (0 for the lowest one)   0.0 meV/atom
Mass density   8.61 g cm⁻³
Formation enthalpy at 0 K   -5.463 kcal/mol of atoms

Lattice parameters (Å, degrees): 13.421 3.824 9.483 90.00 115.08 90.00
Space group C2/m (No. 12)
Symmetry-distinct sites (fractional):
Pm (0.144, 0.000, 0.310)
Sm (0.000, 0.500, 0.500)
Sm (0.109, 0.500, 0.945)
Hg (0.176, 0.000, 0.726)